Entry 1:
This record from the Alexandria database describes a relaxed structure of CsErSn2Cl8. The functional is PBE.

a = 6.4446 Å, b = 6.9825 Å, c = 9.5995 Å
α = 84.26°, β = 88.42°, γ = 86.43°
Space group P-1 (No. 2)
Unique sites:
Cs1 0.0000 0.0000 0.0000 (multiplicity 1)
Er1 0.0000 0.0000 0.5000 (multiplicity 1)
Sn1 0.4800 0.4739 0.2657 (multiplicity 2)
Cl1 0.2202 0.8262 0.3128 (multiplicity 2)
Cl2 0.2266 0.3105 0.4592 (multiplicity 2)
Cl3 0.2586 0.8682 0.7008 (multiplicity 2)
Cl4 0.2681 0.3916 0.0671 (multiplicity 2)

Entry 2:
This record from the Alexandria database describes a relaxed structure of Co5P. The functional is PBE.

a = 4.5092 Å, b = 4.5092 Å, c = 4.2437 Å
α = 90.00°, β = 90.00°, γ = 120.00°
Space group P6/mmm (No. 191)
Unique sites:
Co1 0.0000 0.5000 0.0000 (multiplicity 3)
Co2 0.3333 0.6667 0.5000 (multiplicity 2)
P1 0.0000 0.0000 0.5000 (multiplicity 1)

Output
Energy relative to the elements, eV per atom: 0.444

Entry 3:
This record from the Alexandria database describes a relaxed structure of Tb3Pr3Nd2. The functional is PBE.

a = 5.8977 Å, b = 14.7714 Å, c = 6.3710 Å
α = 90.00°, β = 90.00°, γ = 90.00°
Space group Pmmn (No. 59, origin choice 2)
Unique sites:
Tb1 0.2500 0.0008 0.1659 (multiplicity 4)
Tb2 0.2500 0.2500 0.1660 (multiplicity 2)
Pr1 0.2500 0.1239 0.6649 (multiplicity 4)
Pr2 0.2500 0.7500 0.1668 (multiplicity 2)
Nd1 0.2500 0.6245 0.6706 (multiplicity 4)

Output
Energy relative to the elements, eV per atom: 0.031

Entry 4:
This record from the Alexandria database describes a relaxed structure of La2CdInIr. The functional is PBE.

a = 5.5449 Å, b = 5.5449 Å, c = 5.2106 Å
α = 90.00°, β = 90.00°, γ = 90.00°
Space group P4/mmm (No. 123)
Unique sites:
La1 0.0000 0.5000 0.0000 (multiplicity 2)
Cd1 0.0000 0.0000 0.5000 (multiplicity 1)
In1 0.5000 0.5000 0.5000 (multiplicity 1)
Ir1 0.5000 0.5000 0.0000 (multiplicity 1)

Output
Energy relative to the elements, eV per atom: -0.417

It is found that the total energy values, taken in the order of the records, are -0.14462; -0.23443; -0.17233; -0.17975 hartree per atom.